Below is crystalline CePm2Pa at its relaxed geometry, with properties calculated at the PBE-GGA level.

Calculated values
Energy above the lowest structure with this stoichiometry ... 0 meV/atom
E ... -6.03 eV per atom
Formation enthalpy at 0 K ... 206 meV/atom

The structure in POSCAR format:
```
CePm2Pa
1.0
3.381 0.000 0.000
0.000 3.381 0.000
0.000 0.000 10.610
Ce Pm Pa
1 2 1
Direct
0.000 0.000 0.000
0.500 0.500 0.267
0.500 0.500 0.733
0.000 0.000 0.500
```



Below is crystalline Sm3DyY4S8 at its relaxed geometry, with properties calculated at the PBE-GGA level.

Calculated values
E ... -6.85 eV per atom
Formation energy from raw total energies ... -2.002 eV/atom

The structure in POSCAR format:
```
Sm3DyY4S8
1.0
3.947 2.279 6.470
-3.947 2.279 6.470
0.000 -4.558 6.470
Sm Dy Y S
3 1 4 8
Direct
0.000 0.500 0.500
0.500 0.000 0.500
0.500 0.500 0.000
0.000 0.000 0.000
0.000 0.000 0.500
0.000 0.500 0.000
0.500 0.000 0.000
0.500 0.500 0.500
0.243 0.750 0.750
0.247 0.247 0.247
0.250 0.250 0.757
0.250 0.757 0.250
0.750 0.243 0.750
0.750 0.750 0.243
0.753 0.753 0.753
0.757 0.250 0.250
```



Below is crystalline CrInTe at its relaxed geometry, with properties calculated at the PBE-GGA level.

Calculated values
Energy above the lowest structure with this stoichiometry ... 13 meV/atom
E ... -4.98 eV per atom
Formation energy from raw total energies ... 0.192 eV/atom

The structure in POSCAR format:
```
CrInTe
1.0
3.858 0.000 0.000
-1.929 3.341 0.000
0.000 0.000 5.960
Cr In Te
1 1 1
Direct
0.000 0.000 0.000
0.333 0.667 0.323
0.667 0.333 0.746
```



What is the E in the second record?
-6.85 eV per atom